5
Lattice="4.081 0.000 0.000 0.000 4.081 0.000 0.000 0.000 4.081" Properties=species:S:1:pos:R:3 comment="Zn3NiO | Alexandria | GGA+U | relaxed" magnetic_moment_mub_per_fu=0.00 de_polymorph_mev_per_atom=0 pbc="T T T"
Ni 2.041 2.041 2.041
O 0.000 0.000 0.000
Zn 0.000 2.041 0.000
Zn 0.000 0.000 2.041
Zn 2.041 0.000 0.000